# 1
Computed, not measured: Cr2SnMoN after structural relaxation at the PBE level of DFT.

Cell lengths 3.9931, 3.9931, 4.1656 Å; angles 90.00, 90.00, 90.00 degrees
Fractional coordinates of all 5 atoms:
Cr (0.5000, 0.0000, 0.0000)
Cr (0.0000, 0.5000, 0.0000)
Sn (0.5000, 0.5000, 0.5000)
Mo (0.0000, 0.0000, 0.5000)
N (0.0000, 0.0000, 0.0000)

Uncorrected formation energy ... -90 meV per atom

=====

# 2
Computed, not measured: La2ScIr after structural relaxation at the PBE level of DFT.

Cell lengths 8.6715, 8.6715, 6.8648 Å; angles 50.83, 50.83, 90.00 degrees
Fractional coordinates of all 8 atoms:
La (0.6932, 0.1250, 0.2500)
La (0.3750, 0.3068, 0.7500)
La (0.8750, 0.9432, 0.7500)
La (0.0568, 0.6250, 0.2500)
Sc (0.5000, 0.5000, 0.0000)
Sc (0.2500, 0.7500, 0.5000)
Ir (0.0000, 0.0000, 0.0000)
Ir (0.7500, 0.2500, 0.5000)

ΔE to the lowest computed polymorph ... 234 meV/atom

=====

# 3
Computed, not measured: EuAlHgAu after structural relaxation at the PBE level of DFT.

Cell lengths 5.0354, 5.0354, 5.0354 Å; angles 60.00, 60.00, 60.00 degrees
Fractional coordinates of all 4 atoms:
Eu (0.0000, 0.0000, 0.0000)
Hg (0.2500, 0.2500, 0.2500)
Al (0.5000, 0.5000, 0.5000)
Au (0.7500, 0.7500, 0.7500)

=====

# 4
Computed, not measured: LiNi4Ge after structural relaxation at the PBE level of DFT.

Cell lengths 3.4899, 4.3872, 5.7025 Å; angles 105.97, 72.18, 66.56 degrees
Fractional coordinates of all 6 atoms:
Ni (0.8318, 0.5029, 0.8335)
Ni (0.6667, 0.9986, 0.6679)
Ni (0.3333, 0.0014, 0.3321)
Ni (0.1682, 0.4971, 0.1665)
Ge (0.5000, 0.5000, 0.5000)
Li (0.0000, 0.0000, 0.0000)

ΔE to the lowest computed polymorph ... 0 meV/atom

=====

# 5
Computed, not measured: KAcLa2Te4 after structural relaxation at the PBE level of DFT.

Cell lengths 4.6399, 8.2152, 8.1291 Å; angles 71.28, 90.00, 90.00 degrees
Fractional coordinates of all 8 atoms:
Te (0.0000, 0.7654, 0.7405)
Te (0.5000, 0.2397, 0.7517)
Te (0.5000, 0.7603, 0.2483)
Te (0.0000, 0.2346, 0.2595)
La (0.0000, 0.0000, 0.0000)
La (0.5000, 0.0000, 0.5000)
Ac (0.0000, 0.5000, 0.5000)
K (0.5000, 0.5000, 0.0000)

Uncorrected formation energy ... -1507 meV per atom

=====

# 6
Computed, not measured: Na2NdZnF8 after structural relaxation at the PBE level of DFT.

Cell lengths 4.0619, 5.5267, 7.3304 Å; angles 89.94, 90.02, 94.67 degrees
Fractional coordinates of all 12 atoms:
Nd (0.0000, 0.0000, 0.5000)
F (0.6026, 0.7841, 0.9997)
F (0.0665, 0.7730, 0.7716)
F (0.9335, 0.2270, 0.2284)
F (0.5017, 0.7584, 0.4997)
F (0.3974, 0.2159, 0.0003)
F (0.0667, 0.7740, 0.2280)
F (0.9333, 0.2260, 0.7720)
F (0.4983, 0.2416, 0.5003)
Na (0.5002, 0.5000, 0.7662)
Na (0.4998, 0.5000, 0.2338)
Zn (0.0000, 0.0000, 0.0000)

Uncorrected formation energy ... -2812 meV per atom

=====

| no. | VASP energy (eV per atom) |
| --- | --- |
| 1 | -8.5714 |
| 2 | -6.4138 |
| 3 | -4.8108 |
| 4 | -5.0890 |
| 5 | -4.9607 |
| 6 | -4.7832 |